Li2TcAs | PBE | relaxed

```
Li2TcAs
1.0
-0.955 -1.257 3.887
-2.712 -3.148 0.580
1.364 -3.713 1.398
As Li Tc
1 2 1
direct
0.500 0.500 0.500
0.000 0.000 0.000
0.750 0.750 0.750
0.250 0.250 0.250
```

Computed properties:
Space-group type: F-43m, No. 216
Raw total energy: -4.85 eV per atom